Material: CaAl2Au2
Method: DFT, SCAN
State: PBEsol geometry

Cell: 4.4526 4.4526 10.1726 Å, 90.00 90.00 90.00°
Last column: nearest neighbours and their distance in Å.
Space group I4/mmm (No. 139)
One atom of each set of equivalent atoms:
Ca  0.0000  0.0000  0.0000 x2  8 Au 3.38, 8 Al 3.40
Al  0.0000  0.0000  0.3726 x4  4 Au 2.55, 1 Al 2.59
Au  0.0000  0.5000  0.2500 x4  4 Al 2.55

## Properties
Density: 8.036 g/cm³
DOS at the Fermi energy: 0.4295 states/eV per atom
Total magnetization: 0.0 Bohr magnetons per cell
E_form: -3.814 eV/f.u.

Material: CaAl3Au
Method: DFT, SCAN
State: PBEsol geometry

Cell: 5.3721 5.3721 5.3721 Å, 90.00 90.00 90.00°
Last column: nearest neighbours and their distance in Å.
Space group Pm-3m (No. 221)
One atom of each set of equivalent atoms:
Ca  0.0000  0.0000  0.0000 x1  6 Al 2.69
Al  0.0000  0.0000  0.5000 x3  2 Ca 2.69
Au  0.5000  0.5000  0.5000 x1  12 Al 3.80

## Properties
Density: 3.406 g/cm³
DOS at the Fermi energy: 0.8021 states/eV per atom
Total magnetization: 0.0 Bohr magnetons per cell
E_form: 7.773 eV/f.u.

Material: CaAl3Au
Method: DFT, SCAN
State: PBEsol geometry

Cell: 4.1384 4.1384 11.5746 Å, 90.00 90.00 90.00°
Last column: nearest neighbours and their distance in Å.
Space group I4mm (No. 107)
One atom of each set of equivalent atoms:
Ca  0.0000  0.0000  0.0000 x2  4 Au 3.18, 8 Al 3.19-3.51
Al  0.0000  0.0000  0.3913 x2  1 Au 2.51, 4 Al 2.68
Al  0.0000  0.5000  0.2444 x4  2 Au 2.60, 2 Al 2.68
Au  0.0000  0.0000  0.6085 x2  5 Al 2.51-2.60

## Properties
Density: 5.328 g/cm³
DOS at the Fermi energy: 0.3042 states/eV per atom
Total magnetization: 0.0 Bohr magnetons per cell
E_form: -3.229 eV/f.u.

Material: CaAl2Au
Method: DFT, SCAN
State: PBEsol geometry

Cell: 4.1648 4.1648 4.4276 Å, 90.00 90.00 90.00°
Last column: nearest neighbours and their distance in Å.
Space group P4/mmm (No. 123)
One atom of each set of equivalent atoms:
Ca  0.0000  0.0000  0.0000 x1  4 Au 2.94, 8 Al 3.04
Al  0.0000  0.5000  0.5000 x2  4 Al 2.94, 4 Ca 3.04, 4 Au 3.04
Au  0.5000  0.5000  0.0000 x1  4 Ca 2.94, 8 Al 3.04

## Properties
Density: 6.292 g/cm³
DOS at the Fermi energy: 0.4577 states/eV per atom
Total magnetization: 0.0 Bohr magnetons per cell
E_form: -1.553 eV/f.u.

Material: AlCd2Au
Method: DFT, SCAN
State: PBEsol geometry

Cell: 3.3443 4.3676 5.3524 Å, 90.00 102.48 90.00°
Last column: nearest neighbours and their distance in Å.
Space group Pm (No. 6)
One atom of each set of equivalent atoms:
Al  0.0000  0.0000  0.0000 x1  2 Au 2.57, 1 Cd 2.81
Cd  0.4334  0.5000  0.7921 x1  3 Au 2.83-3.01, 4 Al 2.95-2.97, 2 Cd 3.02
Cd  0.6874  0.0000  0.4696 x1  3 Al 2.81-3.02, 4 Au 2.95-2.99, 2 Cd 3.02
Au  0.1245  0.5000  0.2567 x1  2 Al 2.57, 1 Cd 2.83

## Properties
Density: 9.762 g/cm³
DOS at the Fermi energy: 0.2697 states/eV per atom
Total magnetization: 0.0 Bohr magnetons per cell
E_form: -0.613 eV/f.u.

Material: Al2CdAu
Method: DFT, SCAN
State: PBEsol geometry

Cell: 2.8726 4.3057 12.1292 Å, 90.00 90.00 90.00°
Last column: nearest neighbours and their distance in Å.
Space group Imm2 (No. 44)
One atom of each set of equivalent atoms:
Al  0.0000  0.0000  0.0000 x2  2 Au 2.64, 4 Cd 2.83, 2 Al 2.87
Al  0.0000  0.5000  0.2285 x2  4 Au 2.65, 2 Al 2.87
Cd  0.0000  0.0000  0.4050 x2  6 Al 2.83-3.04, 2 Cd 2.87, 2 Au 3.05
Au  0.0000  0.5000  0.6828 x2  6 Al 2.64-2.65, 2 Au 2.87

## Properties
Density: 8.043 g/cm³
DOS at the Fermi energy: 0.3310 states/eV per atom
Total magnetization: 0.0 Bohr magnetons per cell
E_form: -0.755 eV/f.u.

Material: AlCd2Au
Method: DFT, SCAN
State: PBEsol geometry

Cell: 3.2656 4.0989 5.5276 Å, 90.00 90.00 90.00°
Last column: nearest neighbours and their distance in Å.
Space group Pmmm (No. 47)
One atom of each set of equivalent atoms:
Al  0.0000  0.0000  0.0000 x1  2 Au 2.76, 8 Cd 2.96
Cd  0.5000  0.5000  0.2503 x2  2 Cd 2.76-2.77, 4 Au 2.96, 4 Al 2.96
Au  0.0000  0.0000  0.5000 x1  2 Al 2.76, 8 Cd 2.96

## Properties
Density: 10.072 g/cm³
DOS at the Fermi energy: 0.2641 states/eV per atom
Total magnetization: 0.0 Bohr magnetons per cell
E_form: -0.463 eV/f.u.

Material: Al2CdAu
Method: DFT, SCAN
State: PBEsol geometry

Cell: 2.9999 3.9748 5.8579 Å, 90.00 90.00 90.00°
Last column: nearest neighbours and their distance in Å.
Space group Pmmm (No. 47)
One atom of each set of equivalent atoms:
Al  0.0000  0.0000  0.2354 x2  3 Al 2.76-3.00, 4 Au 2.85, 4 Cd 2.93
Cd  0.5000  0.5000  0.5000 x1  2 Au 2.93, 8 Al 2.93, 2 Cd 3.00
Au  0.5000  0.5000  0.0000 x1  8 Al 2.85, 2 Cd 2.93, 2 Au 3.00

## Properties
Density: 8.638 g/cm³
DOS at the Fermi energy: 0.3425 states/eV per atom
Total magnetization: 0.0 Bohr magnetons per cell
E_form: -0.461 eV/f.u.